(1)
A plane-wave DFT calculation with PBE-GGA was carried out for a relaxed Tb2H2Au crystal.

a = 5.8529 Å, b = 5.8529 Å, c = 6.4703 Å
α = 119.96°, β = 119.96°, γ = 73.16°
With the nearest neighbours (Å) after each atom.
Element x y z (fractional)
Tb 0.0104 0.3422 0.2027  4 H 2.24-2.30
Tb 0.3422 0.0104 0.7027  4 H 2.24-2.30
Tb 0.6578 0.9896 0.2973  4 H 2.24-2.30
Tb 0.9896 0.6578 0.7973  4 H 2.24-2.30
H 0.0008 0.2372 0.4966  4 Tb 2.24-2.30
H 0.2372 0.0008 0.9966  4 Tb 2.24-2.30
H 0.7628 0.9992 0.0034  4 Tb 2.24-2.30
H 0.9992 0.7628 0.5034  4 Tb 2.24-2.30
Au 0.4521 0.5479 0.2500  8 Tb 2.98-3.26, 4 H 3.09-3.25, 2 Au 3.30
Au 0.5479 0.4521 0.7500  8 Tb 2.98-3.26, 4 H 3.09-3.25, 2 Au 3.30

Computed properties:
**E**: -4.54 eV/atom

***

(2)
A plane-wave DFT calculation with PBE-GGA was carried out for a relaxed Tc3HAu crystal.

a = 3.9689 Å, b = 3.9689 Å, c = 3.9689 Å
α = 90.00°, β = 90.00°, γ = 90.00°
With the nearest neighbours (Å) after each atom.
Element x y z (fractional)
Tc 0.0000 0.0000 0.5000  2 H 1.98
Tc 0.0000 0.5000 0.0000  2 H 1.98
Tc 0.5000 0.0000 0.0000  2 H 1.98
H 0.0000 0.0000 0.0000  6 Tc 1.98
Au 0.5000 0.5000 0.5000  12 Tc 2.81

Computed properties:
**Energy relative to the lowest polymorph listed for this composition**: 0.000 eV per atom

***

(3)
A plane-wave DFT calculation with PBE-GGA was carried out for a relaxed TcHAu crystal.

a = 4.9854 Å, b = 2.8784 Å, c = 10.4606 Å
α = 90.00°, β = 90.04°, γ = 90.00°
With the nearest neighbours (Å) after each atom.
Element x y z (fractional)
Tc 0.0000 0.0000 0.0000  3 H 1.89
Tc 0.0004 0.0000 0.2135  3 H 1.84
Tc 0.5000 0.5000 0.0000  3 H 1.89
Tc 0.5004 0.5000 0.2135  3 H 1.84
H 0.3332 0.0000 0.9138  3 Tc 1.89, 1 Au 2.04
H 0.3339 0.0000 0.2896  3 Tc 1.84
H 0.8332 0.5000 0.9138  3 Tc 1.89, 1 Au 2.04
H 0.8339 0.5000 0.2896  3 Tc 1.84
Au 0.1682 0.5000 0.4821  3 H 2.61, 6 Au 2.88
Au 0.3342 0.0000 0.7191  1 H 2.04
Au 0.6682 0.0000 0.4821  3 H 2.61, 6 Au 2.88
Au 0.8342 0.5000 0.7191  1 H 2.04

Computed properties:
**E**: -5.49 eV/atom

***

(4)
A plane-wave DFT calculation with PBE-GGA was carried out for a relaxed Tc3HAu crystal.

a = 5.0746 Å, b = 5.0746 Å, c = 5.0746 Å
α = 90.00°, β = 90.00°, γ = 90.00°
With the nearest neighbours (Å) after each atom.
Element x y z (fractional)
Tc 0.0000 0.0000 0.5000  2 Au 2.54
Tc 0.0000 0.5000 0.0000  2 Au 2.54
Tc 0.5000 0.0000 0.0000  2 Au 2.54
H 0.5000 0.5000 0.5000  12 Tc 3.59
Au 0.0000 0.0000 0.0000  6 Tc 2.54

Computed properties:
**Energy relative to the lowest polymorph listed for this composition**: 2.590 eV per atom

***

(5)
A plane-wave DFT calculation with PBE-GGA was carried out for a relaxed TcHAu2 crystal.

a = 6.2790 Å, b = 6.2790 Å, c = 6.2790 Å
α = 90.00°, β = 90.00°, γ = 90.00°
With the nearest neighbours (Å) after each atom.
Element x y z (fractional)
Tc 0.0000 0.0000 0.0000  8 Au 2.72
Tc 0.0000 0.5000 0.5000  8 Au 2.72
Tc 0.5000 0.0000 0.5000  8 Au 2.72
Tc 0.5000 0.5000 0.0000  8 Au 2.72
H 0.0000 0.0000 0.5000  8 Au 2.72
H 0.0000 0.5000 0.0000  8 Au 2.72
H 0.5000 0.0000 0.0000  8 Au 2.72
H 0.5000 0.5000 0.5000  8 Au 2.72
Au 0.2500 0.2500 0.2500  4 H 2.72, 4 Tc 2.72
Au 0.2500 0.2500 0.7500  4 H 2.72, 4 Tc 2.72
Au 0.2500 0.7500 0.2500  4 H 2.72, 4 Tc 2.72
Au 0.2500 0.7500 0.7500  4 H 2.72, 4 Tc 2.72
Au 0.7500 0.2500 0.2500  4 H 2.72, 4 Tc 2.72
Au 0.7500 0.2500 0.7500  4 H 2.72, 4 Tc 2.72
Au 0.7500 0.7500 0.2500  4 H 2.72, 4 Tc 2.72
Au 0.7500 0.7500 0.7500  4 H 2.72, 4 Tc 2.72

Computed properties:
**Energy relative to the lowest polymorph listed for this composition**: 0.286 eV per atom

***

(6)
A plane-wave DFT calculation with PBE-GGA was carried out for a relaxed TcH2Au crystal.

a = 2.9136 Å, b = 2.9136 Å, c = 16.1625 Å
α = 90.00°, β = 90.00°, γ = 120.00°
With the nearest neighbours (Å) after each atom.
Element x y z (fractional)
Tc 0.0000 0.0000 0.0000  6 H 1.84-1.88
Tc 0.3333 0.6667 0.6667  6 H 1.84-1.88
Tc 0.6667 0.3333 0.3333  6 H 1.84-1.88
H 0.0000 0.0000 0.3802  3 Tc 1.84
H 0.0000 0.0000 0.6153  3 Tc 1.88
H 0.3333 0.6667 0.0469  3 Tc 1.84
H 0.3333 0.6667 0.2820  3 Tc 1.88
H 0.6667 0.3333 0.7135  3 Tc 1.84
H 0.6667 0.3333 0.9487  3 Tc 1.88
Au 0.0000 0.0000 0.8249  6 H 2.46-2.61
Au 0.3333 0.6667 0.4916  6 H 2.46-2.61
Au 0.6667 0.3333 0.1583  6 H 2.46-2.61

Computed properties:
**Energy relative to the lowest polymorph listed for this composition**: 0.000 eV per atom

***

(7)
A plane-wave DFT calculation with PBE-GGA was carried out for a relaxed TcH2Au crystal.

a = 5.2520 Å, b = 5.2520 Å, c = 5.6654 Å
α = 90.00°, β = 90.00°, γ = 90.00°
With the nearest neighbours (Å) after each atom.
Element x y z (fractional)
Tc 0.0000 0.0000 0.0000  4 H 1.76
Tc 0.0000 0.5000 0.2500  4 H 1.76
Tc 0.5000 0.0000 0.7500  4 H 1.76
Tc 0.5000 0.5000 0.5000  4 H 1.76
H 0.1783 0.7500 0.1250  2 Tc 1.76
H 0.2500 0.1783 0.8750  2 Tc 1.76
H 0.2500 0.3217 0.3750  2 Tc 1.76
H 0.3217 0.7500 0.6250  2 Tc 1.76
H 0.6783 0.2500 0.6250  2 Tc 1.76
H 0.7500 0.6783 0.3750  2 Tc 1.76
H 0.7500 0.8217 0.8750  2 Tc 1.76
H 0.8217 0.2500 0.1250  2 Tc 1.76
Au 0.0000 0.0000 0.5000  4 H 2.25
Au 0.0000 0.5000 0.7500  4 H 2.25
Au 0.5000 0.0000 0.2500  4 H 2.25
Au 0.5000 0.5000 0.0000  4 H 2.25

Computed properties:
**Energy relative to the lowest polymorph listed for this composition**: 0.097 eV per atom

***

(8)
A plane-wave DFT calculation with PBE-GGA was carried out for a relaxed TcH2Au crystal.

a = 5.4620 Å, b = 5.4620 Å, c = 5.4620 Å
α = 90.00°, β = 90.00°, γ = 90.00°
With the nearest neighbours (Å) after each atom.
Element x y z (fractional)
Tc 0.0000 0.0000 0.0000  8 H 2.37
Tc 0.0000 0.5000 0.5000  8 H 2.37
Tc 0.5000 0.0000 0.5000  8 H 2.37
Tc 0.5000 0.5000 0.0000  8 H 2.37
H 0.2500 0.2500 0.2500  4 Tc 2.37, 4 Au 2.37
H 0.2500 0.2500 0.7500  4 Tc 2.37, 4 Au 2.37
H 0.2500 0.7500 0.2500  4 Tc 2.37, 4 Au 2.37
H 0.2500 0.7500 0.7500  4 Tc 2.37, 4 Au 2.37
H 0.7500 0.2500 0.2500  4 Tc 2.37, 4 Au 2.37
H 0.7500 0.2500 0.7500  4 Tc 2.37, 4 Au 2.37
H 0.7500 0.7500 0.2500  4 Tc 2.37, 4 Au 2.37
H 0.7500 0.7500 0.7500  4 Tc 2.37, 4 Au 2.37
Au 0.0000 0.0000 0.5000  8 H 2.37
Au 0.0000 0.5000 0.0000  8 H 2.37
Au 0.5000 0.0000 0.0000  8 H 2.37
Au 0.5000 0.5000 0.5000  8 H 2.37

Computed properties:
**Energy relative to the lowest polymorph listed for this composition**: 0.608 eV per atom

***

The following M_tot values (in μB per atom) correspond, in order, to the records above: 0.000; 0.000; 0.000; 2.105; 0.541; 0.048; 0.000; 0.389.